1.
DFT (PBE) results for a relaxed LiZrGa crystal.

Total magnetization ... 0.0000 μB per atom
E above lowest polymorph ... 1069 meV per atom

a b c (Å): 3.851 3.851 10.836
angles (deg): 90.00 90.00 120.00
Positions (direct):
Li: 0.333 0.667 0.250
Li: 0.667 0.333 0.750
Zr: 0.000 0.000 0.000
Zr: 0.000 0.000 0.500
Ga: 0.000 0.000 0.250
Ga: 0.000 0.000 0.750



2.
DFT (PBE) results for a relaxed LiZrGa crystal.

Total magnetization ... 0.0000 μB per atom
E above lowest polymorph ... 91 meV per atom

a b c (Å): 9.553 4.382 6.856
angles (deg): 90.00 133.00 90.00
Positions (direct):
Li: 0.085 0.000 0.238
Li: 0.415 0.500 0.762
Li: 0.585 0.500 0.238
Li: 0.915 0.000 0.762
Zr: 0.228 0.000 0.772
Zr: 0.272 0.500 0.228
Zr: 0.728 0.500 0.772
Zr: 0.772 0.000 0.228
Ga: 0.020 0.500 0.338
Ga: 0.480 0.000 0.662
Ga: 0.520 0.000 0.338
Ga: 0.980 0.500 0.662